No. 1
A relaxed Ca2Ru3 crystal, computed with PBE.

The value obtained for the volume is 116.5 Å³ per cell. Its space group is R-3m, No. 166. For the total DFT energy (no corrections), the calculation gives -28.64 eV for the cell shown.

Unit cell a=9.056 b=9.056 c=9.056 alpha=24.98 beta=24.98 gamma=24.98
Last column: magnetic moment on the atom in μB.
Positions (direct):
1 Ca 0.592 0.592 0.592  -0.02
2 Ru 0.000 0.000 0.000  0.94
3 Ca 0.408 0.408 0.408  -0.02
4 Ru 0.177 0.177 0.177  0.07
5 Ru 0.823 0.823 0.823  0.07


No. 2
A relaxed Ba8TlIn2 crystal, computed with PBE.

The calculation puts the relative energy among the computed polymorphs at 0 meV/atom. The value obtained for the volume is 525.6 Å³ per cell. Its space group is C2/m, No. 12. For the total DFT energy (no corrections), the calculation gives -26.04 eV for the cell shown.

Unit cell a=6.128 b=8.521 c=11.102 alpha=108.62 beta=106.02 gamma=90.00
Positions (direct):
1 Ba 0.800 0.700 0.599
2 Ba 0.599 0.444 0.198
3 In 0.817 0.304 0.634
4 Ba 0.401 0.556 0.802
5 Ba 0.028 0.787 0.056
6 Ba 0.200 0.300 0.401
7 Tl 0.500 0.000 0.000
8 Ba 0.334 0.044 0.668
9 In 0.183 0.696 0.366
10 Ba 0.972 0.213 0.944
11 Ba 0.666 0.956 0.332


No. 3
A relaxed Ac3Y5Te12 crystal, computed with PBE.

As for the uncorrected formation energy: -1.349 eV per atom. The value obtained for the volume is 3223.0 Å³ per cell. Its space group is Ia-3d, No. 230. For the total DFT energy (no corrections), the calculation gives -437.29 eV for the cell shown.

Unit cell a=16.117 b=16.117 c=16.117 alpha=109.47 beta=109.47 gamma=109.47
Positions (direct):
1 Te 0.584 0.958 0.675
2 Te 0.416 0.042 0.325
3 Te 0.958 0.584 0.175
4 Ac 0.750 0.875 0.625
5 Te 0.717 0.590 0.175
6 Ac 0.375 0.750 0.625
7 Te 0.217 0.675 0.090
8 Te 0.627 0.584 0.910
9 Te 0.127 0.410 0.084
10 Te 0.675 0.217 0.590
11 Y 0.625 0.750 0.875
12 Te 0.410 0.127 0.584
13 Te 0.283 0.410 0.825
14 Te 0.717 0.127 0.042
15 Y 0.875 0.625 0.750
16 Te 0.590 0.873 0.416
17 Te 0.910 0.825 0.783
18 Te 0.916 0.825 0.542
19 Y 0.125 0.375 0.250
20 Y 0.500 0.500 0.000
21 Te 0.542 0.325 0.916
22 Y 0.625 0.875 0.250
23 Ac 0.375 0.625 0.250
24 Te 0.084 0.910 0.127
25 Te 0.042 0.627 0.717
26 Y 0.500 0.500 0.500
27 Ac 0.250 0.125 0.375
28 Te 0.458 0.783 0.873
29 Te 0.458 0.675 0.084
30 Te 0.783 0.458 0.373
31 Y 0.375 0.125 0.750
32 Y 0.000 0.000 0.500
33 Y 0.500 0.000 0.000
34 Y 0.250 0.875 0.125
35 Ac 0.625 0.375 0.750
36 Te 0.675 0.458 0.584
37 Te 0.127 0.717 0.542
38 Te 0.325 0.783 0.410
39 Te 0.416 0.373 0.590
40 Y 0.500 0.000 0.500
41 Te 0.783 0.325 0.910
42 Ac 0.750 0.375 0.125
43 Ac 0.250 0.625 0.875
44 Te 0.175 0.084 0.958
45 Te 0.590 0.717 0.675
46 Y 0.250 0.375 0.625
47 Y 0.875 0.250 0.625
48 Te 0.090 0.916 0.373
49 Te 0.084 0.175 0.458
50 Te 0.217 0.542 0.627
51 Te 0.825 0.910 0.283
52 Ac 0.875 0.125 0.250
53 Te 0.410 0.283 0.325
54 Te 0.584 0.627 0.410
55 Te 0.373 0.416 0.090
56 Te 0.283 0.873 0.958
57 Te 0.042 0.416 0.825
58 Te 0.958 0.373 0.283
59 Te 0.910 0.084 0.627
60 Te 0.916 0.090 0.873
61 Y 0.000 0.500 0.000
62 Te 0.542 0.217 0.127
63 Ac 0.125 0.875 0.750
64 Te 0.325 0.542 0.416
65 Te 0.627 0.042 0.217
66 Ac 0.125 0.250 0.875
67 Te 0.175 0.090 0.717
68 Ac 0.875 0.750 0.125
69 Te 0.873 0.283 0.458
70 Y 0.750 0.125 0.875
71 Ac 0.625 0.250 0.375
72 Te 0.373 0.958 0.783
73 Te 0.825 0.916 0.042
74 Y 0.000 0.500 0.500
75 Y 0.375 0.250 0.125
76 Te 0.873 0.590 0.916
77 Y 0.750 0.625 0.375
78 Y 0.000 0.000 0.000
79 Te 0.090 0.175 0.217
80 Y 0.125 0.750 0.375


No. 4
A relaxed Hf2SI crystal, computed with PBE.

The calculation puts the relative energy among the computed polymorphs at 104 meV/atom. As for the uncorrected formation energy: -0.139 eV per atom. The value obtained for the volume is 208.1 Å³ per cell. Its space group is I-42d, No. 122. For the total DFT energy (no corrections), the calculation gives -52.28 eV for the cell shown.

Unit cell a=5.050 b=5.050 c=8.905 alpha=73.53 beta=73.53 gamma=90.00
Positions (direct):
1 Hf 0.547 0.125 0.250
2 Hf 0.875 0.797 0.750
3 S 0.250 0.750 0.500
4 I 0.750 0.250 0.500
5 Hf 0.203 0.625 0.250
6 S 0.500 0.500 0.000
7 I 0.000 0.000 0.000
8 Hf 0.375 0.453 0.750


No. 5
A relaxed ZnGaSn3 crystal, computed with PBE.

The calculation puts the relative energy among the computed polymorphs at 0 meV/atom. The value obtained for the volume is 145.2 Å³ per cell. Its space group is Pm-3m, No. 221. For the total DFT energy (no corrections), the calculation gives -14.27 eV for the cell shown.

Unit cell a=5.255 b=5.255 c=5.255 alpha=90.00 beta=90.00 gamma=90.00
Positions (direct):
1 Sn 0.000 0.500 0.000
2 Sn 0.500 0.000 0.000
3 Sn 0.000 0.000 0.500
4 Ga 0.500 0.500 0.500
5 Zn 0.000 0.000 0.000


No. 6
A relaxed LiNdF4 crystal, computed with PBE.

As for the uncorrected formation energy: -3.701 eV per atom. The value obtained for the volume is 163.4 Å³ per cell. Its space group is Pmmn, No. 59. For the total DFT energy (no corrections), the calculation gives -72.75 eV for the cell shown.

Unit cell a=3.836 b=7.060 c=7.185 alpha=90.00 beta=90.00 gamma=122.91
Positions (direct):
1 F 0.103 0.353 0.937
2 Li 0.815 0.065 0.750
3 F 0.368 0.118 0.750
4 F 0.497 0.746 0.750
5 F 0.897 0.647 0.437
6 Li 0.185 0.935 0.250
7 F 0.103 0.353 0.563
8 Nd 0.243 0.493 0.250
9 F 0.632 0.882 0.250
10 F 0.503 0.254 0.250
11 F 0.897 0.647 0.063
12 Nd 0.757 0.507 0.750


No. 7
A relaxed SrAs3Pd3 crystal, computed with PBE.

The value obtained for the volume is 330.1 Å³ per cell. Its space group is Pm-3n, No. 223. For the total DFT energy (no corrections), the calculation gives -68.69 eV for the cell shown.

Unit cell a=6.911 b=6.911 c=6.911 alpha=90.00 beta=90.00 gamma=90.00
Positions (direct):
1 As 0.750 0.500 0.000
2 As 0.500 0.000 0.750
3 Pd 0.000 0.500 0.250
4 Pd 0.250 0.000 0.500
5 As 0.500 0.000 0.250
6 As 0.000 0.750 0.500
7 As 0.000 0.250 0.500
8 Pd 0.500 0.750 0.000
9 Pd 0.750 0.000 0.500
10 Sr 0.000 0.000 0.000
11 Pd 0.000 0.500 0.750
12 Sr 0.500 0.500 0.500
13 Pd 0.500 0.250 0.000
14 As 0.250 0.500 0.000


No. 8
A relaxed AlRh crystal, computed with PBE.

The value obtained for the volume is 125.5 Å³ per cell. Its space group is P6_3/mmc, No. 194. For the total DFT energy (no corrections), the calculation gives -46.99 eV for the cell shown.

Unit cell a=4.322 b=4.322 c=7.756 alpha=90.00 beta=90.00 gamma=120.00
Positions (direct):
1 Al 0.333 0.667 0.080
2 Rh 0.000 0.000 0.250
3 Rh 0.667 0.333 0.250
4 Al 0.333 0.667 0.420
5 Rh 0.000 0.000 0.750
6 Al 0.667 0.333 0.920
7 Al 0.667 0.333 0.580
8 Rh 0.333 0.667 0.750


No. 9
A relaxed Hg2Sb2Au7 crystal, computed with PBE.

As for the uncorrected formation energy: 0.064 eV per atom. The value obtained for the volume is 289.2 Å³ per cell. Its space group is Cmmm, No. 65. For the total DFT energy (no corrections), the calculation gives -31.08 eV for the cell shown.

Unit cell a=5.575 b=7.207 c=7.207 alpha=86.97 beta=89.99 gamma=89.99
Positions (direct):
1 Hg 0.500 0.263 0.737
2 Au 0.748 0.000 0.500
3 Au 0.500 0.695 0.695
4 Au 0.252 0.500 0.000
5 Sb 0.000 0.749 0.749
6 Sb 0.000 0.251 0.251
7 Au 0.748 0.500 0.000
8 Au 0.252 0.000 0.500
9 Hg 0.500 0.737 0.263
10 Au 0.000 0.000 0.000
11 Au 0.500 0.305 0.305


No. 10
A relaxed FeSi2Pt crystal, computed with PBE.

As for the uncorrected formation energy: -0.041 eV per atom. The value obtained for the volume is 54.9 Å³ per cell. Its space group is R3m, No. 160. For the total DFT energy (no corrections), the calculation gives -25.51 eV for the cell shown.

Unit cell a=7.794 b=7.794 c=7.794 alpha=21.33 beta=21.33 gamma=21.33
Last column: magnetic moment on the atom in μB.
Positions (direct):
1 Pt 0.746 0.746 0.746  0.06
2 Fe 0.508 0.508 0.508  1.82
3 Si 0.999 0.999 0.999  -0.01
4 Si 0.246 0.246 0.246  -0.06


No. 11
A relaxed YZr2BrCl crystal, computed with PBE.

The calculation puts the relative energy among the computed polymorphs at 0 meV/atom. As for the uncorrected formation energy: 0.059 eV per atom. The value obtained for the volume is 124.8 Å³ per cell. Its space group is P4/mmm, No. 123. For the total DFT energy (no corrections), the calculation gives -26.78 eV for the cell shown.

Unit cell a=4.796 b=5.427 c=4.796 alpha=90.00 beta=90.00 gamma=90.00
Positions (direct):
1 Zr 0.000 0.000 0.500
2 Y 0.000 0.500 0.000
3 Cl 0.000 0.000 0.000
4 Zr 0.500 0.000 0.000
5 Br 0.500 0.500 0.500


No. 12
A relaxed LaTe2CN crystal, computed with PBE.

The calculation puts the relative energy among the computed polymorphs at 0 meV/atom. As for the uncorrected formation energy: 0.855 eV per atom. The value obtained for the volume is 104.4 Å³ per cell. Its space group is P4/mmm, No. 123. For the total DFT energy (no corrections), the calculation gives -24.49 eV for the cell shown.

Unit cell a=5.065 b=5.065 c=4.071 alpha=90.00 beta=90.00 gamma=90.00
Last column: magnetic moment on the atom in μB.
Positions (direct):
1 Te 0.500 0.000 0.000  0.10
2 Te 0.000 0.500 0.000  0.10
3 N 0.000 0.000 0.500  0.91
4 C 0.000 0.000 0.000  0.05
5 La 0.500 0.500 0.500  0.02


So what do the calculations give for mass density? Going down the list: 5463, 4842, 5475, 8235, 5620, 4619, 6355, 6877, 11620, 9291, 5145, 6681 kg/m³.